DFT (PBE-GGA) results for BaNb2BiRu after structural relaxation.

Output
DFT formation energy ... 72 kJ per mole of atoms
DOS at the Fermi energy ... 5.3 states/eV per cell

abc: 4.9054 4.9054 5.9188
angles: 90.00 90.00 90.00
With the nearest neighbours (Å) after each atom.
Space group P4/mmm (No. 123)
Inequivalent atoms, fractional coordinates:
1 Ba 0.0000 0.0000 0.0000 (multiplicity 1)  2 Ru 2.96
2 Nb 0.0000 0.5000 0.5000 (multiplicity 2)  2 Ru 2.45
3 Bi 0.5000 0.5000 0.0000 (multiplicity 1)  4 Ba 3.47, 8 Nb 3.84
4 Ru 0.0000 0.0000 0.5000 (multiplicity 1)  4 Nb 2.45

=====

DFT (PBE-GGA) results for Na2SrI after structural relaxation.

Output
Energy above the most stable polymorph in this dataset ... 322 meV/atom
DOS at the Fermi energy ... 19.1 states/eV per cell

abc: 8.7867 8.7867 8.7867
angles: 90.00 90.00 90.00
With the nearest neighbours (Å) after each atom.
Space group Fm-3m (No. 225)
Inequivalent atoms, fractional coordinates:
1 Na 0.2500 0.2500 0.2500 (multiplicity 8)  4 I 3.80, 4 Sr 3.80
2 Sr 0.0000 0.0000 0.0000 (multiplicity 4)  8 Na 3.80
3 I 0.0000 0.0000 0.5000 (multiplicity 4)  8 Na 3.80

=====

DFT (PBE-GGA) results for TlInRh4 after structural relaxation.

Output
DFT formation energy ... 15 kJ per mole of atoms
DOS at the Fermi energy ... 31.2 states/eV per cell

abc: 7.4651 7.4651 7.4651
angles: 90.00 90.00 90.00
With the nearest neighbours (Å) after each atom.
Space group F-43m (No. 216)
Inequivalent atoms, fractional coordinates:
1 Tl 0.0000 0.0000 0.0000 (multiplicity 4)  12 Rh 3.09, 4 In 3.23
2 In 0.2500 0.2500 0.7500 (multiplicity 4)  12 Rh 3.09, 4 Tl 3.23
3 Rh 0.1250 0.1250 0.3750 (multiplicity 16)  6 Rh 2.64

=====

DFT (PBE-GGA) results for NpPaIn after structural relaxation.

Output
Energy above the most stable polymorph in this dataset ... 0 meV/atom
DFT formation energy ... 18 kJ per mole of atoms
DOS at the Fermi energy ... 13.6 states/eV per cell

abc: 3.0306 3.0306 15.3814
angles: 90.00 90.00 90.00
With the nearest neighbours (Å) after each atom.
Space group I4mm (No. 107)
Inequivalent atoms, fractional coordinates:
1 Np 0.0000 0.0000 0.0000 (multiplicity 2)  4 Np 3.03, 4 Pa 3.27, 4 In 3.36
2 Pa 0.0000 0.0000 0.6605 (multiplicity 2)  4 Pa 3.03, 4 Np 3.27
3 In 0.0000 0.0000 0.3317 (multiplicity 2)  4 In 3.03, 4 Np 3.36

=====

DFT (PBE-GGA) results for K3Ac2LaS6 after structural relaxation.

Output
Final energy ... -128.02 eV for the cell shown
DOS at the Fermi energy ... 0.0 states/eV per cell

abc: 19.4818 4.3892 8.9683
angles: 90.00 104.97 90.00
With the nearest neighbours (Å) after each atom.
Space group C2/m (No. 12)
Inequivalent atoms, fractional coordinates:
1 K 0.0000 0.0000 0.0000 (multiplicity 2)  6 S 3.29-3.36
2 K 0.1660 0.5000 0.3336 (multiplicity 4)  6 S 3.28-3.37
3 Ac 0.1657 0.5000 0.8309 (multiplicity 4)  6 S 2.99-3.02
4 La 0.0000 0.0000 0.5000 (multiplicity 2)  6 S 2.93-2.94
5 S 0.0069 0.5000 0.7212 (multiplicity 4)  2 La 2.94, 1 Ac 2.99, 1 K 3.28
6 S 0.1554 0.0000 0.5988 (multiplicity 4)  1 La 2.93, 2 Ac 3.00
7 S 0.1742 0.0000 0.0638 (multiplicity 4)  3 Ac 3.00-3.02, 3 K 3.29-3.30

=====

DFT (PBE-GGA) results for CeNd12Tl6 after structural relaxation.

Output
DFT formation energy ... -14 kJ per mole of atoms
DOS at the Fermi energy ... 68.6 states/eV per cell

abc: 11.8926 11.8926 14.7528
angles: 90.00 90.00 120.00
With the nearest neighbours (Å) after each atom.
Space group R-3 (No. 148, hexagonal axes)
Inequivalent atoms, fractional coordinates:
1 Ce 0.0000 0.0000 0.0000 (multiplicity 3)  6 Tl 3.38, 6 Nd 3.44
2 Nd 0.0573 0.8432 0.4077 (multiplicity 18)  4 Tl 3.30-3.47, 4 Nd 3.49-3.55
3 Nd 0.0753 0.1889 0.8083 (multiplicity 18)  3 Nd 3.10-3.39, 1 Tl 3.31, 1 Ce 3.44
4 Tl 0.0258 0.4359 0.7158 (multiplicity 18)  7 Nd 3.30-3.55, 1 Ce 3.38, 2 Tl 3.60

=====

DFT (PBE-GGA) results for Al2WCl after structural relaxation.

Output
Energy above the most stable polymorph in this dataset ... 95 meV/atom
DOS at the Fermi energy ... 7.1 states/eV per cell

abc: 3.0510 3.0510 24.6321
angles: 90.00 90.00 120.00
With the nearest neighbours (Å) after each atom.
Space group R-3m (No. 166, hexagonal axes)
Inequivalent atoms, fractional coordinates:
1 Al 0.0000 0.0000 0.2477 (multiplicity 6)  3 W 2.66, 3 Cl 2.75
2 W 0.0000 0.0000 0.5000 (multiplicity 3)  6 Al 2.66
3 Cl 0.0000 0.0000 0.0000 (multiplicity 3)  6 Al 2.75, 6 Cl 3.05

=====

DFT (PBE-GGA) results for Al5Rh after structural relaxation.

Output
DFT formation energy ... -28 kJ per mole of atoms
DOS at the Fermi energy ... 6.3 states/eV per cell

abc: 3.9807 11.9587 3.8547
angles: 90.00 90.00 90.00
With the nearest neighbours (Å) after each atom.
Space group Cmmm (No. 65)
Inequivalent atoms, fractional coordinates:
1 Al 0.0000 0.0000 0.0000 (multiplicity 2)  8 Al 2.72-2.78, 4 Rh 2.77
2 Al 0.0000 0.1602 0.5000 (multiplicity 4)  10 Al 2.72-2.93, 2 Rh 2.76
3 Al 0.0000 0.3376 0.0000 (multiplicity 4)  2 Rh 2.74, 10 Al 2.77-2.89
4 Rh 0.0000 0.5000 0.5000 (multiplicity 2)  12 Al 2.74-2.77

=====

Copy entry 8 word for word.
DFT (PBE-GGA) results for Al5Rh after structural relaxation.

Output
DFT formation energy ... -28 kJ per mole of atoms
DOS at the Fermi energy ... 6.3 states/eV per cell

abc: 3.9807 11.9587 3.8547
angles: 90.00 90.00 90.00
With the nearest neighbours (Å) after each atom.
Space group Cmmm (No. 65)
Inequivalent atoms, fractional coordinates:
1 Al 0.0000 0.0000 0.0000 (multiplicity 2)  8 Al 2.72-2.78, 4 Rh 2.77
2 Al 0.0000 0.1602 0.5000 (multiplicity 4)  10 Al 2.72-2.93, 2 Rh 2.76
3 Al 0.0000 0.3376 0.0000 (multiplicity 4)  2 Rh 2.74, 10 Al 2.77-2.89
4 Rh 0.0000 0.5000 0.5000 (multiplicity 2)  12 Al 2.74-2.77

=====

Copy entry 3 word for word.
DFT (PBE-GGA) results for TlInRh4 after structural relaxation.

Output
DFT formation energy ... 15 kJ per mole of atoms
DOS at the Fermi energy ... 31.2 states/eV per cell

abc: 7.4651 7.4651 7.4651
angles: 90.00 90.00 90.00
With the nearest neighbours (Å) after each atom.
Space group F-43m (No. 216)
Inequivalent atoms, fractional coordinates:
1 Tl 0.0000 0.0000 0.0000 (multiplicity 4)  12 Rh 3.09, 4 In 3.23
2 In 0.2500 0.2500 0.7500 (multiplicity 4)  12 Rh 3.09, 4 Tl 3.23
3 Rh 0.1250 0.1250 0.3750 (multiplicity 16)  6 Rh 2.64